Record 1
Material: Mg2BeRe
Method: DFT, GGA-PBE
State: optimized geometry

Unit cell a=5.283 b=5.283 c=4.429 alpha=65.35 beta=65.35 gamma=31.38
Atoms (fractional coordinates):
Re: 0.750 0.750 0.750
Mg: 0.976 0.976 0.023
Mg: 0.524 0.524 0.477
Be: 0.250 0.250 0.250

## Properties
SG = No. 12
DOS at the Fermi energy = 1.52 states/eV/cell
crystal system = monoclinic

***

Record 2
Material: MgBe2Re
Method: DFT, GGA-PBE
State: optimized geometry

Unit cell a=4.748 b=4.748 c=4.291 alpha=70.94 beta=70.94 gamma=32.65
Atoms (fractional coordinates):
Re: 0.731 0.731 0.806
Mg: 0.514 0.514 0.458
Be: 0.981 0.981 0.969
Be: 0.275 0.275 0.267

## Properties
SG = No. 8
DOS at the Fermi energy = 1.44 states/eV/cell
crystal system = monoclinic

***

Record 3
Material: Mg2BeRe
Method: DFT, GGA-PBE
State: optimized geometry

Unit cell a=5.106 b=5.182 c=2.712 alpha=80.74 beta=78.20 gamma=116.05
Atoms (fractional coordinates):
Re: 0.000 0.500 0.500
Mg: 0.000 0.000 0.000
Mg: 0.500 0.000 0.500
Be: 0.500 0.500 0.000

## Properties
SG = No. 12
DOS at the Fermi energy = 1.94 states/eV/cell
crystal system = monoclinic

***

Record 4
Material: Mg2BeRe
Method: DFT, GGA-PBE
State: optimized geometry

Unit cell a=4.716 b=4.716 c=2.813 alpha=90.00 beta=90.00 gamma=90.00
Atoms (fractional coordinates):
Re: 0.500 0.000 0.500
Mg: 0.000 0.000 0.000
Mg: 0.500 0.500 0.000
Be: 0.000 0.500 0.500

## Properties
SG = No. 123
DOS at the Fermi energy = 2.06 states/eV/cell
crystal system = tetragonal

***

Record 5
Material: MgBe2ReRh
Method: DFT, GGA-PBE
State: optimized geometry

Unit cell a=4.117 b=4.576 c=4.117 alpha=90.00 beta=90.00 gamma=90.00
Site moments in Bohr magnetons follow the coordinates.
Atoms (fractional coordinates):
Re: 0.500 0.500 0.500  1.98
Mg: 0.000 0.500 0.000  -0.02
Rh: 0.000 0.000 0.000  0.13
Be: 0.000 0.000 0.500  -0.06
Be: 0.500 0.000 0.000  -0.04

## Properties
SG = No. 123
DOS at the Fermi energy = 2.46 states/eV/cell
crystal system = tetragonal

***

Record 6
Material: MgBeReRu2
Method: DFT, GGA-PBE
State: optimized geometry

Unit cell a=4.397 b=4.563 c=4.397 alpha=90.00 beta=90.00 gamma=90.00
Site moments in Bohr magnetons follow the coordinates.
Atoms (fractional coordinates):
Re: 0.000 0.500 0.000  1.18
Mg: 0.000 0.000 0.000  0.00
Be: 0.500 0.500 0.500  -0.04
Ru: 0.000 0.000 0.500  0.62
Ru: 0.500 0.000 0.000  0.52

## Properties
SG = No. 123
DOS at the Fermi energy = 5.72 states/eV/cell
crystal system = tetragonal

***

Record 7
Material: MgBeRe2Sn
Method: DFT, GGA-PBE
State: optimized geometry

Unit cell a=4.652 b=4.810 c=4.652 alpha=90.00 beta=90.00 gamma=90.00
Site moments in Bohr magnetons follow the coordinates.
Atoms (fractional coordinates):
Re: 0.000 0.000 0.500  1.34
Re: 0.500 0.000 0.000  1.39
Mg: 0.000 0.000 0.000  -0.01
Sn: 0.000 0.500 0.000  -0.04
Be: 0.500 0.500 0.500  -0.04

## Properties
SG = No. 123
DOS at the Fermi energy = 5.37 states/eV/cell
crystal system = tetragonal

***

Record 8
Material: MgTiBeRe2
Method: DFT, GGA-PBE
State: optimized geometry

Unit cell a=4.570 b=4.477 c=4.570 alpha=90.00 beta=90.00 gamma=90.00
Site moments in Bohr magnetons follow the coordinates.
Atoms (fractional coordinates):
Re: 0.000 0.000 0.500  0.47
Re: 0.500 0.000 0.000  0.71
Mg: 0.500 0.500 0.500  -0.01
Be: 0.000 0.500 0.000  -0.03
Ti: 0.000 0.000 0.000  -0.04

## Properties
SG = No. 123
DOS at the Fermi energy = 5.15 states/eV/cell
crystal system = tetragonal

***

Record 9
Material: Mg2BeZnRe
Method: DFT, GGA-PBE
State: optimized geometry

Unit cell a=4.468 b=4.260 c=4.468 alpha=90.00 beta=90.00 gamma=90.00
Site moments in Bohr magnetons follow the coordinates.
Atoms (fractional coordinates):
Re: 0.000 0.500 0.000  0.80
Zn: 0.500 0.500 0.500  -0.01
Mg: 0.000 0.000 0.500  -0.01
Mg: 0.500 0.000 0.000  -0.01
Be: 0.000 0.000 0.000  -0.02

## Properties
SG = No. 123
DOS at the Fermi energy = 2.45 states/eV/cell
crystal system = tetragonal

***

Record 10
Material: MgBe3Rh
Method: DFT, GGA-PBE
State: optimized geometry

Unit cell a=4.208 b=4.208 c=4.208 alpha=90.00 beta=90.00 gamma=90.00
Atoms (fractional coordinates):
Be: 0.000 0.500 0.000
Be: 0.000 0.000 0.500
Be: 0.500 0.000 0.000
Mg: 0.500 0.500 0.500
Rh: 0.000 0.000 0.000

## Properties
SG = No. 221
DOS at the Fermi energy = 2.03 states/eV/cell
crystal system = cubic
excess energy over the best structure of this formula in the dataset = 0.0000 eV per atom

***

Record 11
Material: Mg2BeRh
Method: DFT, GGA-PBE
State: optimized geometry

Unit cell a=3.727 b=3.727 c=9.548 alpha=78.74 beta=78.74 gamma=90.00
Atoms (fractional coordinates):
Be: 0.500 0.500 0.000
Be: 0.250 0.750 0.500
Mg: 0.627 0.125 0.250
Mg: 0.123 0.625 0.250
Mg: 0.375 0.373 0.750
Mg: 0.875 0.877 0.750
Rh: 0.000 0.000 0.000
Rh: 0.750 0.250 0.500

## Properties
SG = No. 122
DOS at the Fermi energy = 3.87 states/eV/cell
crystal system = tetragonal

***

Record 12
Material: MgBeRh
Method: DFT, GGA-PBE
State: optimized geometry

Unit cell a=3.884 b=6.723 c=6.285 alpha=90.00 beta=90.00 gamma=90.00
Atoms (fractional coordinates):
Mg: 0.250 0.816 0.489
Mg: 0.750 0.316 0.011
Mg: 0.250 0.684 0.989
Mg: 0.750 0.184 0.511
Be: 0.750 0.597 0.306
Be: 0.750 0.903 0.806
Be: 0.250 0.097 0.194
Be: 0.250 0.403 0.694
Rh: 0.750 0.919 0.171
Rh: 0.750 0.581 0.671
Rh: 0.250 0.081 0.829
Rh: 0.250 0.419 0.329

## Properties
SG = No. 62
DOS at the Fermi energy = 4.92 states/eV/cell
crystal system = orthorhombic
excess energy over the best structure of this formula in the dataset = 0.0363 eV per atom

***

Short version: formation energy = 0.351 0.169 0.372 0.562 0.985 2.270 2.461 1.496 0.619 0.209 0.259 -0.422 eV per atom, in the order given.